# CsSiSb2Te, optimized geometry, DFT PBE
# * total moment: 0.38 μB/f.u.
# * electronic total energy: -1.753 eV/atom
# * formation energy from raw total energies: 1.780 eV/atom
data_CsSiSb2Te
_cell_length_a 6.188
_cell_length_b 6.188
_cell_length_c 6.277
_cell_angle_alpha 90.00
_cell_angle_beta 90.00
_cell_angle_gamma 90.00
_space_group_name_H-M_alt 'P 4/m m m'
_space_group_IT_number 123
_space_group_name_Hall '-P 4 2'
loop_
_atom_site_label
_atom_site_fract_x
_atom_site_fract_y
_atom_site_fract_z
_atom_site_occupancy
Cs1 0.000 0.000 0.000 1
Si1 0.500 0.500 0.500 1
Sb1 0.000 0.500 0.000 1
Te1 0.000 0.000 0.500 1